Crystalline DyMg2Al at its relaxed geometry, computed with PBE-GGA.

Structure (extended XYZ):
```
4
Lattice="5.007 0.000 0.000 2.503 4.336 0.000 2.503 1.445 4.088" Properties=species:S:1:pos:R:3 pbc="T T T"
Mg 2.503 1.445 1.022
Mg 7.510 4.336 3.066
Al 5.007 2.891 2.044
Dy 0.000 0.000 0.000
```

Properties
Symmetry: Fm-3m, No. 225
Volume (Å³/f.u.): 88.8
Calculated density (g/cm³): 4.5
Magnetic moment (μB/f.u.): 0.00
VASP energy (eV/atom): -2.94